(1)
HoCuTc | PBE | relaxed

Results
Energy of formation: 1.079 eV/atom
Crystal system: cubic

Cell: 4.449 4.449 4.449 Å, 60.00 60.00 60.00°
Site moments in Bohr magnetons follow the coordinates.
Fractional coordinates of all 3 atoms:
Cu1 0.250 0.250 0.250  0.01
Ho1 0.000 0.000 0.000  0.12
Tc1 0.750 0.750 0.750  1.31

(2)
CsDyAgSe3 | PBE | relaxed

Results
Crystal system: orthorhombic
Total DFT energy (no corrections): -4.26 eV per atom

Cell: 16.452 4.171 11.080 Å, 90.00 90.00 90.00°
Fractional coordinates of all 24 atoms:
Ag1 0.482 0.750 0.096
Ag2 0.982 0.750 0.404
Ag3 0.018 0.250 0.596
Ag4 0.518 0.250 0.904
Cs1 0.264 0.250 0.038
Cs2 0.764 0.250 0.462
Cs3 0.236 0.750 0.538
Cs4 0.736 0.750 0.962
Dy1 0.976 0.250 0.156
Dy2 0.476 0.250 0.344
Dy3 0.524 0.750 0.656
Dy4 0.024 0.750 0.844
Se1 0.088 0.750 0.083
Se2 0.580 0.250 0.130
Se3 0.869 0.750 0.235
Se4 0.369 0.750 0.265
Se5 0.080 0.250 0.370
Se6 0.588 0.750 0.417
Se7 0.412 0.250 0.583
Se8 0.920 0.750 0.630
Se9 0.631 0.250 0.735
Se10 0.131 0.250 0.765
Se11 0.420 0.750 0.870
Se12 0.912 0.250 0.917

(3)
DyHoIn2Ni4 | PBE | relaxed

Results
Crystal system: hexagonal
Excess energy over the best structure of this formula in the dataset: 53 meV per atom

Cell: 4.400 4.400 8.435 Å, 90.00 90.00 120.00°
Fractional coordinates of all 8 atoms:
Dy1 0.000 0.000 0.000
Ho1 0.667 0.333 0.500
In1 0.333 0.667 0.251
In2 0.333 0.667 0.749
Ni1 0.667 0.333 0.165
Ni2 0.000 0.000 0.337
Ni3 0.000 0.000 0.663
Ni4 0.667 0.333 0.835

(4)
LaGdMg2Ag2 | PBE | relaxed

Results
Crystal system: monoclinic
Total DFT energy (no corrections): -3.33 eV per atom

Cell: 7.799 4.294 13.493 Å, 90.00 90.12 90.00°
Fractional coordinates of all 18 atoms:
Ag1 0.491 0.000 0.165
Ag2 0.010 0.000 0.331
Ag3 0.498 0.500 0.497
Ag4 0.994 0.000 0.673
Ag5 0.505 0.000 0.838
Ag6 0.002 0.500 0.998
Gd1 0.414 0.500 0.000
Gd2 0.295 0.500 0.290
Gd3 0.790 0.500 0.794
La1 0.791 0.500 0.206
La2 0.917 0.500 0.500
La3 0.294 0.500 0.709
Mg1 0.125 0.000 0.119
Mg2 0.615 0.000 0.378
Mg3 0.262 0.000 0.498
Mg4 0.621 0.000 0.623
Mg5 0.119 0.000 0.882
Mg6 0.757 0.000 0.998